Entry 1:
# POsO2 | Alexandria via LeMat-Bulk | PBE-GGA | optimized geometry
data_POsO2
_cell_length_a 2.6969
_cell_length_b 2.6969
_cell_length_c 21.1712
_cell_angle_alpha 90.00
_cell_angle_beta 90.00
_cell_angle_gamma 120.00
_symmetry_space_group_name_H-M 'R -3 m'
_symmetry_Int_Tables_number 166
_symmetry_space_group_name_Hall '-R 3 2"'
loop_
_atom_site_label
_atom_site_type_symbol
_atom_site_fract_x
_atom_site_fract_y
_atom_site_fract_z
P1 P 0.0000 0.0000 0.0000
Os1 Os 0.0000 0.0000 0.5000
O1 O 0.0000 0.0000 0.4110
# calculated density: 9.46 g/cm³
# density of states at the Fermi level: 2.67 states/eV/f.u.
# total moment: 0.0 μB/f.u.

=====

Entry 2:
# KMgIn2 | Alexandria via LeMat-Bulk | PBE-GGA | optimized geometry
data_KMgIn2
_cell_length_a 5.509
_cell_length_b 5.509
_cell_length_c 20.431
_cell_angle_alpha 90.00
_cell_angle_beta 90.00
_cell_angle_gamma 90.00
_symmetry_space_group_name_H-M 'I -4 2 d'
_symmetry_Int_Tables_number 122
_symmetry_space_group_name_Hall 'I -4 2bw'
loop_
_atom_site_label
_atom_site_type_symbol
_atom_site_fract_x
_atom_site_fract_y
_atom_site_fract_z
K1 K 0.000 0.000 0.000
Mg1 Mg 0.000 0.000 0.500
In1 In 0.095 0.250 0.625
# calculated density: 3.14 g/cm³
# density of states at the Fermi level: 2.02 states/eV/f.u.
# ΔH_f (0 K): 2.97 kcal/mol of atoms
# total moment: 0.0 μB/f.u.

=====

| no. | energy (eV per atom) |
| --- | --- |
| 1 | -6.65 |
| 2 | -1.91 |